Entry 1:
# TmAl2AgAu2

A geometry-optimized TmAl2AgAu2 structure (GGA-PBE, Alexandria via LeMat-Bulk).

Results
Its crystal system is trigonal. For the energy of formation from the pure elements, the calculation gives -0.55 eV per atom.

Cell lengths 4.474, 4.474, 6.525 Å; angles 90.00, 90.00, 120.00 degrees
Atoms (fractional coordinates):
Al 0.667 0.333 0.309
Au 0.667 0.333 0.748
Ag 0.000 0.000 0.500
Al 0.333 0.667 0.691
Au 0.333 0.667 0.252
Tm 0.000 0.000 0.000

Entry 2:
# Pm2Ho3Zn2

A geometry-optimized Pm2Ho3Zn2 structure (GGA-PBE, Alexandria via LeMat-Bulk).

Results
The calculation puts the energy above the most stable polymorph in this dataset at 0.000 eV per atom. Its crystal system is orthorhombic. For the energy of formation from the pure elements, the calculation gives -0.13 eV per atom.

Cell lengths 3.618, 3.542, 15.257 Å; angles 90.00, 96.81, 90.00 degrees
Site moments in Bohr magnetons follow the coordinates.
Atoms (fractional coordinates):
Ho 0.418 0.500 0.836  0.01
Zn 0.862 0.000 0.725  0.00
Pm 0.699 0.500 0.398  0.18
Zn 0.138 0.000 0.275  0.00
Ho 0.582 0.500 0.164  0.01
Ho 0.000 0.000 0.000  0.01
Pm 0.301 0.500 0.602  0.18

Entry 3:
# CePr2NdDy5

A geometry-optimized CePr2NdDy5 structure (GGA-PBE, Alexandria via LeMat-Bulk).

Results
Its crystal system is tetragonal. For the energy of formation from the pure elements, the calculation gives 0.26 eV per atom.

Cell lengths 8.694, 8.694, 9.969 Å; angles 115.85, 115.85, 90.00 degrees
Site moments in Bohr magnetons follow the coordinates.
Atoms (fractional coordinates):
Dy 0.156 0.064 0.720  0.05
Dy 0.500 0.500 0.000  -0.03
Dy 0.344 0.844 0.280  0.05
Dy 0.436 0.344 0.280  0.05
Pr 0.621 0.121 0.000  -0.02
Pr 0.121 0.379 0.000  -0.02
Dy 0.000 0.000 0.000  -0.03
Nd 0.250 0.250 0.500  0.00
Dy 0.656 0.156 0.720  0.05
Dy 0.564 0.656 0.720  0.05
Nd 0.750 0.750 0.500  0.00
Dy 0.064 0.564 0.720  0.05
Dy 0.936 0.436 0.280  0.05
Pr 0.379 0.879 0.000  -0.02
Ce 0.250 0.750 0.500  0.77
Dy 0.844 0.936 0.280  0.05
Ce 0.750 0.250 0.500  0.77
Pr 0.879 0.621 0.000  -0.02

Entry 4:
# Tb4CeHg

A geometry-optimized Tb4CeHg structure (GGA-PBE, Alexandria via LeMat-Bulk).

Results
Its crystal system is tetragonal. For the energy of formation from the pure elements, the calculation gives 0.37 eV per atom.

Cell lengths 5.208, 5.207, 7.427 Å; angles 89.98, 89.96, 90.01 degrees
Site moments in Bohr magnetons follow the coordinates.
Atoms (fractional coordinates):
Tb 0.501 0.997 0.259  0.26
Tb 0.001 0.497 0.260  0.26
Ce 0.501 0.497 0.998  1.14
Tb 0.501 0.997 0.737  0.26
Hg 0.001 0.997 0.498  0.03
Tb 0.002 0.497 0.737  0.26

Entry 5:
# RbNa2Y

A geometry-optimized RbNa2Y structure (GGA-PBE, Alexandria via LeMat-Bulk).

Results
The calculation puts the energy above the most stable polymorph in this dataset at 0.097 eV per atom. Its crystal system is cubic. For the energy of formation from the pure elements, the calculation gives 0.48 eV per atom.

Cell lengths 6.271, 6.271, 6.271 Å; angles 60.00, 60.00, 60.00 degrees
Atoms (fractional coordinates):
Na 0.750 0.750 0.750
Na 0.250 0.250 0.250
Rb 0.000 0.000 0.000
Y 0.500 0.500 0.500

Entry 6:
# Y2ErNi

A geometry-optimized Y2ErNi structure (GGA-PBE, Alexandria via LeMat-Bulk).

Results
The calculation puts the energy above the most stable polymorph in this dataset at 0.192 eV per atom. Its crystal system is trigonal. For the energy of formation from the pure elements, the calculation gives -0.05 eV per atom.

Cell lengths 3.653, 3.653, 9.684 Å; angles 79.13, 79.13, 60.00 degrees
Atoms (fractional coordinates):
Y 0.728 0.728 0.815
Ni 0.000 0.000 0.000
Y 0.272 0.272 0.185
Er 0.500 0.500 0.500

Entry 7:
# KCdGaF6

A geometry-optimized KCdGaF6 structure (GGA-PBE, Alexandria via LeMat-Bulk).

Results
For the formation energy (no corrections), the calculation gives -59.0 kcal/mol of atoms. Its crystal system is orthorhombic.

Cell lengths 7.359, 7.449, 7.299 Å; angles 120.68, 120.27, 90.00 degrees
Atoms (fractional coordinates):
F 0.448 0.159 0.261
F 0.864 0.114 0.727
F 0.448 0.602 0.261
Cd 0.000 0.000 0.500
F 0.555 0.805 0.110
K 0.154 0.404 0.307
F 0.445 0.195 0.890
F 0.552 0.398 0.739
F 0.187 0.841 0.739
F 0.813 0.159 0.261
F 0.813 0.602 0.261
Ga 0.500 0.000 0.000
Ga 0.500 0.500 0.000
F 0.552 0.841 0.739
F 0.187 0.398 0.739
K 0.846 0.596 0.693
Cd 0.500 0.000 0.500
F 0.136 0.886 0.273

Entry 8:
# CdAgSb

A geometry-optimized CdAgSb structure (GGA-PBE, Alexandria via LeMat-Bulk).

Results
For the formation energy (no corrections), the calculation gives 2.5 kcal/mol of atoms. Its crystal system is tetragonal.

Cell lengths 5.209, 5.209, 5.209 Å; angles 134.93, 134.93, 65.64 degrees
Atoms (fractional coordinates):
Ag 0.003 0.003 0.000
Sb 0.667 0.667 0.000
Cd 0.329 0.329 0.000

Entry 9:
# HfBeP

A geometry-optimized HfBeP structure (GGA-PBE, Alexandria via LeMat-Bulk).

Results
Its crystal system is orthorhombic. For the energy of formation from the pure elements, the calculation gives -0.60 eV per atom.

Cell lengths 3.482, 5.417, 9.685 Å; angles 90.00, 90.00, 90.00 degrees
Atoms (fractional coordinates):
Hf 0.250 0.227 0.561
P 0.750 0.534 0.680
Hf 0.750 0.727 0.939
Be 0.250 0.740 0.160
Be 0.750 0.240 0.340
P 0.250 0.034 0.820
Hf 0.250 0.273 0.061
P 0.750 0.966 0.180
Hf 0.750 0.773 0.439
Be 0.250 0.760 0.660
P 0.250 0.466 0.320
Be 0.750 0.260 0.840

Entry 10:
# BaInTc4

A geometry-optimized BaInTc4 structure (GGA-PBE, Alexandria via LeMat-Bulk).

Results
Its crystal system is cubic. For the energy of formation from the pure elements, the calculation gives 0.67 eV per atom.

Cell lengths 5.485, 5.485, 5.485 Å; angles 60.00, 60.00, 60.00 degrees
Atoms (fractional coordinates):
Tc 0.373 0.373 0.373
Tc 0.880 0.373 0.373
Ba 0.750 0.750 0.750
In 0.000 0.000 0.000
Tc 0.373 0.373 0.880
Tc 0.373 0.880 0.373

Entry 11:
# LiTmThCd

A geometry-optimized LiTmThCd structure (GGA-PBE, Alexandria via LeMat-Bulk).

Results
Its crystal system is cubic. For the energy of formation from the pure elements, the calculation gives 0.02 eV per atom.

Cell lengths 5.291, 5.291, 5.291 Å; angles 60.00, 60.00, 60.00 degrees
Atoms (fractional coordinates):
Th 0.500 0.500 0.500
Li 0.250 0.250 0.250
Cd 0.750 0.750 0.750
Tm 0.000 0.000 0.000

Entry 12:
# TlGa2PdN

A geometry-optimized TlGa2PdN structure (GGA-PBE, Alexandria via LeMat-Bulk).

Results
For the formation energy (no corrections), the calculation gives 9.5 kcal/mol of atoms. Its crystal system is tetragonal.

Cell lengths 4.058, 5.547, 4.058 Å; angles 90.00, 90.00, 90.00 degrees
Atoms (fractional coordinates):
N 0.000 0.000 0.000
Tl 0.000 0.500 0.000
Ga 0.500 0.000 0.000
Ga 0.000 0.000 0.500
Pd 0.500 0.500 0.500

Entry 13:
# RbSiMo3

A geometry-optimized RbSiMo3 structure (GGA-PBE, Alexandria via LeMat-Bulk).

Results
For the formation energy (no corrections), the calculation gives 37.6 kcal/mol of atoms. The calculation puts the energy above the most stable polymorph in this dataset at 0.000 eV per atom. Its crystal system is cubic.

Cell lengths 4.769, 4.769, 4.769 Å; angles 90.00, 90.00, 90.00 degrees
Site moments in Bohr magnetons follow the coordinates.
Atoms (fractional coordinates):
Mo 0.000 0.000 0.500  0.83
Rb 0.500 0.500 0.500  0.06
Mo 0.500 0.000 0.000  0.81
Mo 0.000 0.500 0.000  0.73
Si 0.000 0.000 0.000  -0.03

Entry 14:
# DyNpP2N6

A geometry-optimized DyNpP2N6 structure (GGA-PBE, Alexandria via LeMat-Bulk).

Results
For the formation energy (no corrections), the calculation gives -19.5 kcal/mol of atoms. Its crystal system is monoclinic.

Cell lengths 5.353, 6.935, 6.935 Å; angles 87.83, 79.42, 79.42 degrees
Site moments in Bohr magnetons follow the coordinates.
Atoms (fractional coordinates):
Np 0.250 0.311 0.689  2.29
Np 0.750 0.689 0.311  2.29
N 0.876 0.400 0.836  -0.08
N 0.376 0.836 0.400  -0.08
N 0.825 0.017 0.233  -0.03
P 0.747 0.627 0.792  0.00
P 0.753 0.208 0.373  0.00
N 0.124 0.600 0.164  -0.08
N 0.485 0.617 0.693  -0.03
N 0.175 0.983 0.767  -0.03
N 0.325 0.233 0.017  -0.03
N 0.515 0.383 0.307  -0.03
N 0.015 0.307 0.383  -0.03
P 0.253 0.373 0.208  0.00
N 0.675 0.767 0.983  -0.03
Dy 0.250 0.905 0.095  0.00
P 0.247 0.792 0.627  0.00
Dy 0.750 0.095 0.905  0.00
N 0.985 0.693 0.617  -0.03
N 0.624 0.164 0.600  -0.08

Entry 15:
# FeCoOs2

A geometry-optimized FeCoOs2 structure (GGA-PBE, Alexandria via LeMat-Bulk).

Results
The calculation puts the energy above the most stable polymorph in this dataset at 0.066 eV per atom. Its crystal system is orthorhombic. For the energy of formation from the pure elements, the calculation gives 0.17 eV per atom.

Cell lengths 4.486, 4.486, 2.622 Å; angles 90.00, 90.00, 108.62 degrees
Site moments in Bohr magnetons follow the coordinates.
Atoms (fractional coordinates):
Os 0.500 0.500 0.000  -0.02
Os 0.000 0.000 0.000  -0.02
Co 0.500 0.000 0.500  -0.44
Fe 0.000 0.500 0.500  0.82

Entry 16:
# BaHgOs2

A geometry-optimized BaHgOs2 structure (GGA-PBE, Alexandria via LeMat-Bulk).

Results
Its crystal system is tetragonal. For the energy of formation from the pure elements, the calculation gives 1.48 eV per atom.

Cell lengths 5.639, 5.639, 5.639 Å; angles 134.88, 134.88, 65.71 degrees
Site moments in Bohr magnetons follow the coordinates.
Atoms (fractional coordinates):
Hg 0.250 0.750 0.500  0.00
Ba 0.750 0.250 0.500  0.01
Os 0.500 0.500 0.000  1.42
Os 0.000 0.000 0.000  1.42

Entry 17:
# LiSnP2O6

A geometry-optimized LiSnP2O6 structure (GGA-PBE, Alexandria via LeMat-Bulk).

Results
For the formation energy (no corrections), the calculation gives -38.9 kcal/mol of atoms. Its crystal system is trigonal.

Cell lengths 5.281, 5.281, 6.454 Å; angles 65.85, 65.85, 60.00 degrees
Site moments in Bohr magnetons follow the coordinates.
Atoms (fractional coordinates):
Sn 0.000 0.000 0.000  0.04
O 0.731 0.053 0.731  0.04
O 0.515 0.269 0.269  0.04
P 0.226 0.226 0.322  0.14
O 0.485 0.731 0.731  0.04
O 0.947 0.515 0.269  0.04
O 0.269 0.947 0.269  0.04
Li 0.500 0.500 0.500  0.00
P 0.774 0.774 0.678  0.14
O 0.053 0.485 0.731  0.04

Entry 18:
# SrTe2Pb

A geometry-optimized SrTe2Pb structure (GGA-PBE, Alexandria via LeMat-Bulk).

Results
For the formation energy (no corrections), the calculation gives -19.5 kcal/mol of atoms. Its crystal system is tetragonal.

Cell lengths 7.322, 7.322, 9.131 Å; angles 66.36, 66.36, 90.00 degrees
Atoms (fractional coordinates):
Sr 0.500 0.500 0.000
Pb 0.750 0.250 0.500
Te 0.375 0.367 0.750
Te 0.633 0.125 0.250
Pb 0.000 0.000 0.000
Sr 0.250 0.750 0.500
Te 0.875 0.883 0.750
Te 0.117 0.625 0.250

Entry 19:
# Hf4BeAs2

A geometry-optimized Hf4BeAs2 structure (GGA-PBE, Alexandria via LeMat-Bulk).

Results
Its crystal system is monoclinic. For the energy of formation from the pure elements, the calculation gives -0.55 eV per atom.

Cell lengths 5.660, 5.936, 7.735 Å; angles 77.98, 90.00, 90.00 degrees
Atoms (fractional coordinates):
Be 0.750 0.934 0.062
Hf 0.996 0.812 0.777
Hf 0.004 0.188 0.223
Hf 0.504 0.812 0.777
As 0.750 0.571 0.084
Hf 0.750 0.663 0.425
Hf 0.250 0.692 0.174
As 0.250 0.847 0.472
Hf 0.750 0.308 0.826
Hf 0.250 0.337 0.575
As 0.250 0.429 0.916
As 0.750 0.153 0.528
Hf 0.496 0.188 0.223
Be 0.250 0.066 0.938

Entry 20:
# LiPSe

A geometry-optimized LiPSe structure (GGA-PBE, Alexandria via LeMat-Bulk).

Results
For the formation energy (no corrections), the calculation gives -0.8 kcal/mol of atoms. The calculation puts the energy above the most stable polymorph in this dataset at 0.524 eV per atom. Its crystal system is cubic.

Cell lengths 4.206, 4.206, 4.206 Å; angles 60.00, 60.00, 60.00 degrees
Atoms (fractional coordinates):
P 0.000 0.000 0.000
Se 0.500 0.500 0.500
Li 0.250 0.250 0.250

| no. | total magnetic moment (μB per atom) |
| --- | --- |
| 1 | 0.0000 |
| 2 | 0.0985 |
| 3 | 0.1180 |
| 4 | 0.4891 |
| 5 | 0.0000 |
| 6 | 0.0000 |
| 7 | 0.0000 |
| 8 | 0.0000 |
| 9 | 0.0000 |
| 10 | 0.0001 |
| 11 | 0.0037 |
| 12 | 0.0000 |
| 13 | 0.5788 |
| 14 | 0.2000 |
| 15 | 0.0865 |
| 16 | 0.7733 |
| 17 | 0.1000 |
| 18 | 0.0000 |
| 19 | 0.0000 |
| 20 | 0.0000 |